# 1
DFT (GGA-PBE) results for a relaxed NpMn2CoH8 crystal.

The structure in POSCAR format:
```
NpMn2CoH8
1.0
3.910 0.000 0.000
-0.375 3.940 0.000
-0.996 -0.860 5.466
Np Mn Co H
1 2 1 8
direct
0.000 0.000 0.000
0.413 0.403 0.234
0.587 0.597 0.766
0.000 0.000 0.500
0.138 0.703 0.309
0.288 0.325 0.501
0.291 0.554 0.962
0.335 0.931 0.714
0.665 0.069 0.286
0.709 0.446 0.038
0.712 0.675 0.499
0.862 0.297 0.691
```

Results
VASP energy, eV/atom: -5.35
ρ, kg/m³: 8161
Space group: P-1

# 2
DFT (GGA-PBE) results for a relaxed MnCoHOs crystal.

The structure in POSCAR format:
```
MnCoHOs
1.0
4.381 -1.322 0.000
4.381 1.322 0.000
-1.590 0.000 3.391
Mn Co H Os
1 1 1 1
direct
0.000 0.000 0.000
0.322 0.322 0.273
0.828 0.828 0.546
0.644 0.644 0.655
```

Results
VASP energy, eV/atom: -7.58
ρ, kg/m³: 12901
Space group: Cm
Polymorph energy (0 for the lowest one), eV per atom: 0.115

# 3
DFT (GGA-PBE) results for a relaxed MnCoHOs crystal.

The structure in POSCAR format:
```
MnCoHOs
1.0
-1.321 2.130 3.473
1.321 -2.130 3.473
1.321 2.130 -3.473
Mn Co H Os
1 1 1 1
direct
0.000 0.000 0.000
0.310 0.810 0.500
0.820 0.320 0.500
0.615 0.615 0.000
```

Results
VASP energy, eV/atom: -7.47
ρ, kg/m³: 12960
Space group: Imm2
Polymorph energy (0 for the lowest one), eV per atom: 0.221

# 4
DFT (GGA-PBE) results for a relaxed MnCoHOs crystal.

The structure in POSCAR format:
```
MnCoHOs
1.0
2.638 0.000 0.000
-1.319 2.285 0.000
0.000 0.000 6.338
Mn Co H Os
1 1 1 1
direct
0.000 0.000 0.000
0.333 0.667 0.338
0.667 0.333 0.179
0.667 0.333 0.678
```

Results
VASP energy, eV/atom: -7.64
ρ, kg/m³: 13261
Space group: P3m1
Polymorph energy (0 for the lowest one), eV per atom: 0.049

# 5
DFT (GGA-PBE) results for a relaxed MnCoHOs crystal.

The structure in POSCAR format:
```
MnCoHOs
1.0
2.648 0.000 0.000
-1.324 2.293 0.000
0.000 0.000 6.392
Mn Co H Os
1 1 1 1
direct
0.000 0.000 0.000
0.667 0.333 0.314
0.000 0.000 0.420
0.333 0.667 0.688
```

Results
VASP energy, eV/atom: -7.53
ρ, kg/m³: 13056
Space group: P3m1
Polymorph energy (0 for the lowest one), eV per atom: 0.160

# 6
DFT (GGA-PBE) results for a relaxed MnCoHOs crystal.

The structure in POSCAR format:
```
MnCoHOs
1.0
-1.436 1.456 4.883
1.436 -1.456 4.883
1.436 1.456 -4.883
Mn Co H Os
1 1 1 1
direct
0.000 0.000 0.000
0.642 0.642 0.000
0.227 0.727 0.500
0.348 0.348 0.000
```

Results
VASP energy, eV/atom: -7.50
ρ, kg/m³: 12407
Space group: Imm2
Polymorph energy (0 for the lowest one), eV per atom: 0.196

# 7
DFT (GGA-PBE) results for a relaxed Mn2CoHOs crystal.

The structure in POSCAR format:
```
Mn2CoHOs
1.0
3.662 0.000 0.000
0.000 3.662 0.000
0.000 0.000 3.607
Mn Co H Os
2 1 1 1
direct
0.000 0.500 0.000
0.500 0.000 0.000
0.000 0.000 0.500
0.000 0.000 0.000
0.500 0.500 0.500
```

Results
VASP energy, eV/atom: -7.97
ρ, kg/m³: 12361
Space group: P4/mmm
Polymorph energy (0 for the lowest one), eV per atom: 0.000

# 8
DFT (GGA-PBE) results for a relaxed MnCoHOs crystal.

The structure in POSCAR format:
```
MnCoHOs
1.0
1.332 0.769 6.419
-1.332 0.769 6.419
0.000 -1.538 6.419
Mn Co H Os
1 1 1 1
direct
0.000 0.000 0.000
0.233 0.233 0.233
0.532 0.532 0.532
0.435 0.435 0.435
```

Results
VASP energy, eV/atom: -7.59
ρ, kg/m³: 12847
Space group: R3m
Polymorph energy (0 for the lowest one), eV per atom: 0.105

Calculated N(E_F) in order - 7.181 3.218 4.162 4.463 3.635 3.259 4.240 2.309 states/eV/f.u.